Entry 1:
# Zr2MnZn | Alexandria | PBE | optimized geometry
data_Zr2MnZn
_chemical_formula_sum 'Zr2 Mn1 Zn1'
_space_group_name_H-M_alt 'P 1 m 1'
_space_group_IT_number 6
_cell_length_a 3.449
_cell_length_b 4.144
_cell_length_c 5.459
_cell_angle_alpha 90.00
_cell_angle_beta 108.16
_cell_angle_gamma 90.00
loop_
_space_group_symop_operation_xyz
'x,y,z'
'x,-y,z'
loop_
_atom_site_label
_atom_site_type_symbol
_atom_site_fract_x
_atom_site_fract_y
_atom_site_fract_z
Zr1 Zr 0.000 0.000 0.000
Zr2 Zr 0.296 0.500 0.596
Mn1 Mn 0.571 0.500 0.144
Zn1 Zn 0.719 0.000 0.442
# E (eV/f.u.): -27.902
# Formation energy (eV/atom): -0.09

---

Entry 2:
# ZrMnZn2 | Alexandria | PBE | optimized geometry
data_ZrMnZn2
_chemical_formula_sum 'Zr2 Mn2 Zn4'
_space_group_name_H-M_alt 'I m m 2'
_space_group_IT_number 44
_cell_length_a 3.143
_cell_length_b 4.690
_cell_length_c 9.019
_cell_angle_alpha 90.00
_cell_angle_beta 90.00
_cell_angle_gamma 90.00
loop_
_space_group_symop_operation_xyz
'x,y,z'
'-x,-y,z'
'-x,y,z'
'x,-y,z'
'x+1/2,y+1/2,z+1/2'
'-x+1/2,-y+1/2,z+1/2'
'-x+1/2,y+1/2,z+1/2'
'x+1/2,-y+1/2,z+1/2'
loop_
_atom_site_label
_atom_site_type_symbol
_atom_site_fract_x
_atom_site_fract_y
_atom_site_fract_z
Zr1 Zr 0.000 0.000 0.000
Mn1 Mn 0.000 0.500 0.760
Zn1 Zn 0.000 0.000 0.502
Zn2 Zn 0.000 0.500 0.229
# E (eV/f.u.): -20.237
# Formation energy (eV/atom): 0.01

---

Entry 3:
# ZrMnZn2 | Alexandria | PBE | optimized geometry
data_ZrMnZn2
_chemical_formula_sum 'Zr2 Mn2 Zn4'
_space_group_name_H-M_alt 'C m m m'
_space_group_IT_number 65
_space_group_name_Hall '-C 2 2'
_cell_length_a 5.691
_cell_length_b 7.807
_cell_length_c 2.984
_cell_angle_alpha 90.00
_cell_angle_beta 90.00
_cell_angle_gamma 90.00
loop_
_atom_site_label
_atom_site_type_symbol
_atom_site_fract_x
_atom_site_fract_y
_atom_site_fract_z
Zr1 Zr 0.000 0.000 0.000
Mn1 Mn 0.000 0.500 0.000
Zn1 Zn 0.250 0.250 0.500
# E (eV/f.u.): -20.124
# Formation energy (eV/atom): 0.04

---

Entry 4:
# Zr2MnZn3 | Alexandria | PBE | optimized geometry
data_Zr2MnZn3
_chemical_formula_sum 'Zr4 Mn2 Zn6'
_space_group_name_H-M_alt 'C 1 2/m 1'
_space_group_IT_number 12
_cell_length_a 9.006
_cell_length_b 5.188
_cell_length_c 5.244
_cell_angle_alpha 90.00
_cell_angle_beta 124.97
_cell_angle_gamma 90.00
loop_
_space_group_symop_operation_xyz
'x,y,z'
'-x,-y,-z'
'-x,y,-z'
'x,-y,z'
'x+1/2,y+1/2,z'
'-x+1/2,-y+1/2,-z'
'-x+1/2,y+1/2,-z'
'x+1/2,-y+1/2,z'
loop_
_atom_site_label
_atom_site_type_symbol
_atom_site_fract_x
_atom_site_fract_y
_atom_site_fract_z
Zr1 Zr 0.126 0.000 0.379
Mn1 Mn 0.000 0.500 0.500
Zn1 Zn 0.000 0.500 0.000
Zn2 Zn 0.250 0.250 0.000
# E (eV/f.u.): -31.294
# Formation energy (eV/atom): -0.20

---

Entry 5:
# Zr2MnZn | Alexandria | PBE | optimized geometry
data_Zr2MnZn
_chemical_formula_sum 'Zr6 Mn3 Zn3'
_space_group_name_H-M_alt 'R 3 m'
_space_group_IT_number 160
_space_group_name_Hall 'R 3 -2"'
_cell_length_a 3.0973
_cell_length_b 3.0973
_cell_length_c 27.8887
_cell_angle_alpha 90.00
_cell_angle_beta 90.00
_cell_angle_gamma 120.00
loop_
_atom_site_label
_atom_site_type_symbol
_atom_site_fract_x
_atom_site_fract_y
_atom_site_fract_z
Zr1 Zr 0.0000 0.0000 0.0000
Zr2 Zr 0.0000 0.0000 0.2370
Mn1 Mn 0.0000 0.0000 0.4902
Zn1 Zn 0.0000 0.0000 0.7521
# E (eV/f.u.): -26.956
# Formation energy (eV/atom): 0.15

---

Entry 6:
# ZrMn2Zn | Alexandria | PBE | optimized geometry
data_ZrMn2Zn
_chemical_formula_sum 'Zr4 Mn8 Zn4'
_space_group_name_H-M_alt 'F -4 3 m'
_space_group_IT_number 216
_space_group_name_Hall 'F -4 2 3'
_cell_length_a 6.346
_cell_length_b 6.346
_cell_length_c 6.346
_cell_angle_alpha 90.00
_cell_angle_beta 90.00
_cell_angle_gamma 90.00
loop_
_atom_site_label
_atom_site_type_symbol
_atom_site_fract_x
_atom_site_fract_y
_atom_site_fract_z
Zr1 Zr 0.000 0.000 0.000
Mn1 Mn 0.000 0.000 0.500
Mn2 Mn 0.250 0.250 0.250
Zn1 Zn 0.250 0.250 0.750
# E (eV/f.u.): -27.529
# Formation energy (eV/atom): 0.16

---

Entry 7:
# Zr3MnZn | Alexandria | PBE | optimized geometry
data_Zr3MnZn
_chemical_formula_sum 'Zr3 Mn1 Zn1'
_space_group_name_H-M_alt 'P m -3 m'
_space_group_IT_number 221
_space_group_name_Hall '-P 4 2 3'
_cell_length_a 4.804
_cell_length_b 4.804
_cell_length_c 4.804
_cell_angle_alpha 90.00
_cell_angle_beta 90.00
_cell_angle_gamma 90.00
loop_
_atom_site_label
_atom_site_type_symbol
_atom_site_fract_x
_atom_site_fract_y
_atom_site_fract_z
Zr1 Zr 0.000 0.000 0.500
Mn1 Mn 0.000 0.000 0.000
Zn1 Zn 0.500 0.500 0.500
# Excess energy over the best structure of this formula in the dataset (meV/atom): 0
# E (eV/f.u.): -34.211
# Formation energy (eV/atom): 0.38

---

Entry 8:
# Zr2MnZn | Alexandria | PBE | optimized geometry
data_Zr2MnZn
_chemical_formula_sum 'Zr8 Mn4 Zn4'
_space_group_name_H-M_alt 'F -4 3 m'
_space_group_IT_number 216
_space_group_name_Hall 'F -4 2 3'
_cell_length_a 6.610
_cell_length_b 6.610
_cell_length_c 6.610
_cell_angle_alpha 90.00
_cell_angle_beta 90.00
_cell_angle_gamma 90.00
loop_
_atom_site_label
_atom_site_type_symbol
_atom_site_fract_x
_atom_site_fract_y
_atom_site_fract_z
Zr1 Zr 0.000 0.000 0.000
Zr2 Zr 0.250 0.250 0.250
Mn1 Mn 0.250 0.250 0.750
Zn1 Zn 0.000 0.000 0.500
# E (eV/f.u.): -27.181
# Formation energy (eV/atom): 0.09